Computed, not measured: Bi2MoO6 at its PBEsol-relaxed geometry at the SCAN level of DFT.

CIF file:
```
data_Bi2MoO6
_cell_length_a 5.342
_cell_length_b 16.456
_cell_length_c 5.388
_cell_angle_alpha 90.00
_cell_angle_beta 90.00
_cell_angle_gamma 90.00
_space_group_name_H-M_alt 'C m c e'
_space_group_IT_number 64
_space_group_name_Hall '-C 2ac 2'
loop_
_atom_site_label
_atom_site_type_symbol
_atom_site_fract_x
_atom_site_fract_y
_atom_site_fract_z
Bi1 Bi 0.000 0.172 0.020
Mo1 Mo 0.000 0.000 0.500
O1 O 0.000 0.111 0.424
O2 O 0.250 0.019 0.750
O3 O 0.250 0.248 0.750
```

Properties
- Fermi-level density of states (states/eV/f.u.) = 0.4
- formation energy without anion corrections (meV per atom) = -1598.3
- uncorrected energy (eV/atom) = -27.091